1.
Here is crystalline LiHoTiAl at its relaxed geometry from Alexandria via LeMat-Bulk. Energies are from PBE.

Geometry as POSCAR:
```
LiHoTiAl
1.0
4.8119 0.0000 0.0000
2.4059 4.1672 0.0000
2.4059 1.3891 3.9289
Al Li Ho Ti
1 1 1 1
direct
0.0000 0.0000 0.0000
0.5000 0.5000 0.5000
0.7500 0.7500 0.7500
0.2500 0.2500 0.2500
```

Computed properties:
SG = F-43m, No. 216
Crystal system = cubic

2.
Here is crystalline LiHoAlZn6 at its relaxed geometry from Alexandria via LeMat-Bulk. Energies are from PBE.

Geometry as POSCAR:
```
LiHoAlZn6
1.0
-1.9360 -4.6168 -4.6989
3.1686 -6.5782 5.1578
-5.5259 5.1576 2.2255
Li Ho Al Zn
2 2 2 12
direct
0.5000 0.0000 0.5000
0.0000 0.0000 0.5000
0.6988 0.4488 0.3975
0.3012 0.5512 0.6025
0.5000 0.5000 0.0000
0.5000 0.0000 0.0000
0.5803 0.8303 0.1605
0.9857 0.2357 0.9714
0.9448 0.1485 0.2588
0.3140 0.6103 0.2588
0.3140 0.1485 0.2588
0.9448 0.6103 0.2588
0.4197 0.1697 0.8395
0.0143 0.7643 0.0286
0.0552 0.8515 0.7412
0.6860 0.3897 0.7412
0.6860 0.8515 0.7412
0.0552 0.3897 0.7412
```

Computed properties:
SG = Imma, No. 74
Crystal system = orthorhombic

3.
Here is crystalline LiHoAlZn2 at its relaxed geometry from Alexandria via LeMat-Bulk. Energies are from PBE.

Geometry as POSCAR:
```
LiHoAlZn2
1.0
-0.4439 2.9548 2.7169
1.1501 -2.5252 2.9342
5.0837 1.3350 -3.6228
Li Ho Al Zn
1 1 1 2
direct
0.2500 0.7500 0.5000
0.0000 0.0000 0.0000
0.7500 0.2500 0.5000
0.6081 0.6081 0.2161
0.3919 0.3919 0.7839
```

Computed properties:
SG = I-4m2, No. 119
Crystal system = tetragonal

4.
Here is crystalline LiHo2Al3Zn4 at its relaxed geometry from Alexandria via LeMat-Bulk. Energies are from PBE.

Geometry as POSCAR:
```
LiHo2Al3Zn4
1.0
4.1576 0.0000 0.0000
0.0000 4.1576 0.0000
0.0000 0.0000 10.8103
Li Ho Al Zn
1 2 3 4
direct
0.5000 0.5000 0.5000
0.5000 0.0000 0.2423
0.0000 0.5000 0.7577
0.0000 0.0000 0.5000
0.5000 0.0000 0.8623
0.0000 0.5000 0.1377
0.5000 0.5000 0.0000
0.0000 0.0000 0.0000
0.5000 0.0000 0.6369
0.0000 0.5000 0.3631
```

Computed properties:
SG = P-4m2, No. 115
Crystal system = tetragonal

5.
Here is crystalline HoLuAl2 at its relaxed geometry from Alexandria via LeMat-Bulk. Energies are from PBE.

Geometry as POSCAR:
```
HoLuAl2
1.0
-4.9059 -1.1119 -0.1360
-2.0100 -2.9523 3.5450
-3.1191 1.9548 3.4312
Lu Ho Al
1 1 2
direct
0.7500 0.7500 0.7500
0.2500 0.2500 0.2500
0.0000 0.0000 0.0000
0.5000 0.5000 0.5000
```

Computed properties:
SG = Fm-3m, No. 225
Crystal system = cubic

6.
Here is crystalline HoLu2Al at its relaxed geometry from Alexandria via LeMat-Bulk. Energies are from PBE.

Geometry as POSCAR:
```
HoLu2Al
1.0
-2.5814 1.8050 -1.2296
-3.1821 -0.9502 0.6364
-1.9438 6.6453 9.1864
Lu Ho Al
2 1 1
direct
0.0994 0.0994 0.7017
0.9006 0.9006 0.2983
0.0000 0.0000 0.0000
0.5000 0.5000 0.5000
```

Computed properties:
SG = R-3m, No. 166
Crystal system = trigonal

7.
Here is crystalline HoLu2Al at its relaxed geometry from Alexandria via LeMat-Bulk. Energies are from PBE.

Geometry as POSCAR:
```
HoLu2Al
1.0
4.7002 0.0000 0.0000
0.0000 4.6756 0.0000
0.0000 0.0000 4.6756
Lu Ho Al
2 1 1
direct
0.0000 0.0000 0.5000
0.0000 0.5000 0.0000
0.5000 0.5000 0.5000
0.5000 0.0000 0.0000
```

Computed properties:
SG = P4/mmm, No. 123
Crystal system = tetragonal

8.
Here is crystalline HoLu2Al at its relaxed geometry from Alexandria via LeMat-Bulk. Energies are from PBE.

Geometry as POSCAR:
```
HoLu2Al
1.0
3.4629 0.0000 0.0000
0.0000 3.4629 0.0000
0.0000 0.0000 8.7975
Lu Ho Al
2 1 1
direct
0.0000 0.0000 0.7855
0.0000 0.0000 0.2145
0.5000 0.5000 0.5000
0.5000 0.5000 0.0000
```

Computed properties:
SG = P4/mmm, No. 123
Crystal system = tetragonal

| no. | formation enthalpy at 0 K (eV per atom) | DOS(E_F) (states/eV/cell) |
| --- | --- | --- |
| 1 | -0.041 | 3.255 |
| 2 | -0.005 | 6.698 |
| 3 | -0.277 | 2.290 |
| 4 | -0.299 | 6.622 |
| 5 | -0.388 | 1.063 |
| 6 | 0.118 | 5.176 |
| 7 | -0.196 | 3.803 |
| 8 | -0.200 | 3.653 |